No. 1
Computed, not measured: a relaxed Ag3Te crystal at the GGA-PBE level of DFT.

- uncorrected formation energy (eV per atom) = 0.179
- volume (A^3/atom) = 21.18
- total magnetization (μB/f.u.) = 0.0
- raw total energy (eV per atom) = -2.745

Cell: 3.1908 3.1908 9.6080 Å, 90.00 90.00 120.00°
Last column: nearest neighbours and their distance in Å.
Element x y z (fractional)
1 Ag 0.6667 0.3333 0.2500  12 Ag 2.88-3.19
2 Ag 0.0000 0.0000 0.0201  9 Ag 2.88-3.19, 3 Te 3.18
3 Ag 0.0000 0.0000 0.4799  9 Ag 2.88-3.19, 3 Te 3.18
4 Te 0.6667 0.3333 0.7500  6 Ag 3.18, 6 Te 3.19

No. 2
Computed, not measured: a relaxed Nd2AgSnS5 crystal at the GGA-PBE level of DFT.

- uncorrected formation energy (eV per atom) = -1.166
- volume (A^3/atom) = 22.54
- total magnetization (μB/f.u.) = 0.0
- raw total energy (eV per atom) = -5.280

Cell: 4.0342 8.9455 11.5391 Å, 90.00 90.00 103.03°
Last column: nearest neighbours and their distance in Å.
Element x y z (fractional)
1 S 0.6926 0.3851 0.1609  1 Sn 2.70, 2 Nd 2.92, 2 Ag 2.98
2 S 0.7080 0.4160 0.8271  2 Ag 2.68, 1 Sn 2.82, 2 Nd 2.95
3 S 0.3074 0.6149 0.6609  1 Sn 2.70, 2 Nd 2.92, 2 Ag 2.98
4 S 0.2920 0.5840 0.3271  2 Ag 2.68, 1 Sn 2.82, 2 Nd 2.95
5 S 0.5161 0.0321 0.7901  1 Sn 2.61
6 S 0.9743 0.9487 0.5921  2 Sn 2.57
7 S 0.0257 0.0513 0.0921  2 Sn 2.57
8 S 0.4839 0.9679 0.2901  1 Sn 2.61
9 S 0.6310 0.2620 0.4985  1 Ag 2.50
10 S 0.3690 0.7380 0.9985  1 Ag 2.50
11 Nd 0.1289 0.2577 0.6833  8 S 2.89-3.12
12 Nd 0.1175 0.2350 0.3041  8 S 2.92-3.08
13 Nd 0.8825 0.7650 0.8041  8 S 2.92-3.08
14 Nd 0.8711 0.7423 0.1833  8 S 2.89-3.12
15 Ag 0.7739 0.5479 0.4780  3 S 2.50-2.68
16 Ag 0.2261 0.4521 0.9780  3 S 2.50-2.68
17 Sn 0.5869 0.1739 0.9898  5 S 2.57-2.82
18 Sn 0.4131 0.8261 0.4898  5 S 2.57-2.82